Material: Ho4Er5
Method: DFT, PBE
State: optimized geometry

Calculated values
Total DFT energy (no corrections), eV/atom: -4.53
Crystal system: orthorhombic
Polymorph energy (0 for the lowest one), meV per atom: 18.4

a = 3.569 Å, b = 8.967 Å, c = 8.967 Å
α = 92.02°, β = 78.51°, γ = 78.51°
Element x y z (fractional)
Ho1 0.356 0.621 0.667
Ho2 0.356 0.000 0.288
Ho3 0.644 0.712 0.000
Ho4 0.644 0.333 0.379
Er1 0.000 0.041 0.959
Er2 0.000 0.293 0.707
Er3 0.000 0.667 0.333
Er4 0.293 0.374 0.040
Er5 0.707 0.960 0.626